Below is a relaxed structure of TlTe2W, with properties calculated at the PBE level.

Cell: 3.5011 3.5011 10.2750 Å, 80.30 80.30 60.01°
Fractional positions:
Tl (0.7500, 0.7500, 0.7500)
W (0.2500, 0.2500, 0.2500)
Te (0.9779, 0.9779, 0.0637)
Te (0.5221, 0.5221, 0.4363)

- raw formation energy (eV/f.u.) = 0.424
- Fermi-level density of states (states/eV/cell) = 2.6
- total DFT energy (no corrections) (eV/atom) = -5.29
- space-group type = No. 12
- ΔE to the lowest computed polymorph (meV/atom) = 0